A geometry-optimized Mg2MnVO6 structure, computed with PBE+U.

Cell and atoms, written as extended XYZ:
```
10
Lattice="5.0354 0.0320 0.0427 2.5450 4.5138 0.0954 2.5644 1.5915 4.6343" Properties=species:S:1:pos:R:3 pbc="T T T"
O 4.1252 1.3454 1.2547
O 4.1027 4.7128 1.2963
O 6.8974 2.9930 1.1352
O 5.7325 1.8158 3.6348
O 3.5546 3.1769 3.5315
O 5.9396 4.3940 3.5988
V 2.5650 1.4931 0.3246
Mn 7.6211 4.6114 2.7315
Mg 5.0734 3.0608 2.0978
Mg 2.5862 1.5695 4.2805
```

Values from the calculation:
The volume is 10.39 A^3/atom. The total DFT energy (no corrections) is -6.894 eV per atom. As for the crystal system: triclinic. The space-group type is P1. The value obtained for the total magnetization is 4.00 μB per formula unit.